{"formula": "HoNpMn2O8", "functional": "GGA+U", "state": "optimized geometry", "lattice_angstrom": [[3.484, -3.302, 0.000], [3.484, 3.302, 0.000], [-0.765, 0.000, 6.820]], "species": ["Ho", "Np", "Mn", "Mn", "O", "O", "O", "O", "O", "O", "O", "O"], "fractional_positions": [[0.000, 0.000, 0.000], [0.000, 0.000, 0.500], [0.481, 0.481, 0.775], [0.519, 0.519, 0.225], [0.200, 0.799, 0.731], [0.201, 0.800, 0.269], [0.285, 0.285, 0.540], [0.320, 0.320, 0.017], [0.680, 0.680, 0.983], [0.715, 0.715, 0.460], [0.799, 0.200, 0.731], [0.800, 0.201, 0.269]], "sg": "C2/m (12)", "rho_g_cm3": 6.8, "total_energy_ev_per_atom": -8.30}